Version 1
# LiCr2Co

A relaxed LiCr2Co crystal (PBE-GGA, the Alexandria database).

Calculated values
The magnetization comes out at 1.6 μB per formula unit.

The structure in CIF format:
```
data_LiCr2Co
_symmetry_space_group_name_H-M 'P 1'
_symmetry_Int_Tables_number 1
_cell_length_a 2.432
_cell_length_b 2.432
_cell_length_c 8.504
_cell_angle_alpha 90.00
_cell_angle_beta 90.00
_cell_angle_gamma 108.86
loop_
_symmetry_equiv_pos_as_xyz
'x,y,z'
loop_
_atom_site_label
_atom_site_fract_x
_atom_site_fract_y
_atom_site_fract_z
Li1 0.000 0.000 0.000
Cr1 0.000 0.000 0.512
Cr2 0.500 0.500 0.278
Co1 0.500 0.500 0.747
```

Version 2
# LiCr2Co

A relaxed LiCr2Co crystal (PBE-GGA, the Alexandria database).

Calculated values
The magnetization comes out at 1.8 μB per formula unit.

The structure in CIF format:
```
data_LiCr2Co
_symmetry_space_group_name_H-M 'P 1'
_symmetry_Int_Tables_number 1
_cell_length_a 4.030
_cell_length_b 4.030
_cell_length_c 4.030
_cell_angle_alpha 60.00
_cell_angle_beta 60.00
_cell_angle_gamma 60.00
loop_
_symmetry_equiv_pos_as_xyz
'x,y,z'
loop_
_atom_site_label
_atom_site_fract_x
_atom_site_fract_y
_atom_site_fract_z
Li1 0.000 0.000 0.000
Cr1 0.500 0.500 0.500
Cr2 0.750 0.750 0.750
Co1 0.250 0.250 0.250
```

Version 3
# LiCr2Co

A relaxed LiCr2Co crystal (PBE-GGA, the Alexandria database).

Calculated values
The magnetization comes out at 1.6 μB per formula unit.

The structure in CIF format:
```
data_LiCr2Co
_symmetry_space_group_name_H-M 'P 1'
_symmetry_Int_Tables_number 1
_cell_length_a 2.907
_cell_length_b 3.900
_cell_length_c 4.094
_cell_angle_alpha 90.00
_cell_angle_beta 90.00
_cell_angle_gamma 90.00
loop_
_symmetry_equiv_pos_as_xyz
'x,y,z'
loop_
_atom_site_label
_atom_site_fract_x
_atom_site_fract_y
_atom_site_fract_z
Li1 0.000 0.000 0.000
Cr1 0.000 0.500 0.500
Cr2 0.500 0.000 0.500
Co1 0.500 0.500 0.000
```

Version 4
# LiCr2Co

A relaxed LiCr2Co crystal (PBE-GGA, the Alexandria database).

Calculated values
The magnetization comes out at 0.0 μB per formula unit.

The structure in CIF format:
```
data_LiCr2Co
_symmetry_space_group_name_H-M 'P 1'
_symmetry_Int_Tables_number 1
_cell_length_a 4.791
_cell_length_b 4.791
_cell_length_c 4.791
_cell_angle_alpha 146.61
_cell_angle_beta 132.29
_cell_angle_gamma 59.48
loop_
_symmetry_equiv_pos_as_xyz
'x,y,z'
loop_
_atom_site_label
_atom_site_fract_x
_atom_site_fract_y
_atom_site_fract_z
Li1 0.000 0.000 0.000
Cr1 0.260 0.760 0.500
Cr2 0.740 0.240 0.500
Co1 0.500 0.500 0.000
```

Ranked by calculated energy, most stable first: version 1, version 4, version 2, version 3.